The following is a DFT calculation (PBE) of an optimized crystal structure of Zr6ScZn.

a = 4.858 Å, b = 6.209 Å, c = 6.209 Å
α = 73.10°, β = 90.00°, γ = 90.00°
Positions (direct):
Zr (0.000, 0.000, 0.000)
Zr (0.000, 0.089, 0.491)
Zr (0.000, 0.491, 0.089)
Zr (0.500, 0.293, 0.869)
Zr (0.500, 0.801, 0.801)
Zr (0.500, 0.869, 0.293)
Sc (0.000, 0.579, 0.579)
Zn (0.500, 0.368, 0.368)

Energy of formation from the pure elements = 0.0029 eV/atom
Symmetry = Amm2, No. 38